(1)
A relaxed BeTePCl2 crystal. Source: the Alexandria database, functional PBE-GGA.

a = 5.3198 Å, b = 5.3198 Å, c = 5.1253 Å
α = 90.00°, β = 90.00°, γ = 90.00°
Closest atoms and distances in Å follow each position.
Element x y z (fractional)
Be: 0.0000 0.0000 0.0000  8 Cl 3.69, 4 P 3.76
Te: 0.5000 0.5000 0.5000  2 P 2.56, 4 Cl 2.66
P: 0.5000 0.5000 0.0000  2 Te 2.56
Cl: 0.0000 0.5000 0.5000  2 Te 2.66
Cl: 0.5000 0.0000 0.5000  2 Te 2.66

Output
- DOS at the Fermi energy: 0.7608 states/eV/atom
- Density: 2.730 Mg/m³
- Magnetization: 0.000 μB/cell
- Energy above the lowest structure with this stoichiometry: 936 meV per atom
- Uncorrected formation energy: 408.7 kJ/mol of formula units



(2)
A relaxed BeTlP2Cl crystal. Source: the Alexandria database, functional PBE-GGA.

a = 4.1828 Å, b = 4.1828 Å, c = 7.3168 Å
α = 90.00°, β = 90.00°, γ = 90.00°
Closest atoms and distances in Å follow each position.
Element x y z (fractional)
Be: 0.0000 0.0000 0.0000  4 P 2.09
Tl: 0.5000 0.5000 0.5000  4 Cl 2.96
P: 0.0000 0.5000 0.0000  2 Be 2.09
P: 0.5000 0.0000 0.0000  2 Be 2.09
Cl: 0.0000 0.0000 0.5000  4 Tl 2.96

Output
- DOS at the Fermi energy: 0.1986 states/eV/atom
- Density: 4.031 Mg/m³
- Magnetization: 0.000 μB/cell
- Energy above the lowest structure with this stoichiometry: 0 meV per atom
- Uncorrected formation energy: 96.1 kJ/mol of formula units



(3)
A relaxed BeTlP2Cl crystal. Source: the Alexandria database, functional PBE-GGA.

a = 5.1910 Å, b = 5.1910 Å, c = 5.3596 Å
α = 90.00°, β = 90.00°, γ = 90.00°
Closest atoms and distances in Å follow each position.
Element x y z (fractional)
Be: 0.0000 0.0000 0.0000  4 Cl 3.67, 8 P 3.73
Tl: 0.5000 0.5000 0.5000  4 P 2.60, 2 Cl 2.68
P: 0.0000 0.5000 0.5000  2 Tl 2.60
P: 0.5000 0.0000 0.5000  2 Tl 2.60
Cl: 0.5000 0.5000 0.0000  2 Tl 2.68

Output
- DOS at the Fermi energy: 0.8677 states/eV/atom
- Density: 3.573 Mg/m³
- Magnetization: 1.653 μB/cell
- Energy above the lowest structure with this stoichiometry: 1207 meV per atom
- Uncorrected formation energy: 678.2 kJ/mol of formula units



(4)
A relaxed BeVP2Cl crystal. Source: the Alexandria database, functional PBE-GGA.

a = 4.5198 Å, b = 4.5198 Å, c = 4.7887 Å
α = 90.00°, β = 90.00°, γ = 90.00°
Closest atoms and distances in Å follow each position.
Element x y z (fractional)
Be: 0.0000 0.0000 0.0000  4 Cl 3.20, 8 P 3.29
V: 0.5000 0.5000 0.5000  4 P 2.26, 2 Cl 2.39
P: 0.0000 0.5000 0.5000  2 V 2.26
P: 0.5000 0.0000 0.5000  2 V 2.26
Cl: 0.5000 0.5000 0.0000  2 V 2.39

Output
- DOS at the Fermi energy: 0.4325 states/eV/atom
- Density: 2.671 Mg/m³
- Magnetization: 0.000 μB/cell
- Energy above the lowest structure with this stoichiometry: 0 meV per atom
- Uncorrected formation energy: 265.7 kJ/mol of formula units



(5)
A relaxed BeVP2Cl crystal. Source: the Alexandria database, functional PBE-GGA.

a = 4.1478 Å, b = 4.1478 Å, c = 4.6818 Å
α = 90.00°, β = 90.00°, γ = 90.00°
Closest atoms and distances in Å follow each position.
Element x y z (fractional)
Be: 0.0000 0.0000 0.0000  4 P 2.07
V: 0.5000 0.5000 0.5000  4 Cl 2.93, 8 P 3.13
P: 0.0000 0.5000 0.0000  2 Be 2.07
P: 0.5000 0.0000 0.0000  2 Be 2.07
Cl: 0.0000 0.0000 0.5000  2 Be 2.34

Output
- DOS at the Fermi energy: 1.2975 states/eV/atom
- Density: 3.244 Mg/m³
- Magnetization: 0.106 μB/cell
- Energy above the lowest structure with this stoichiometry: 120 meV per atom
- Uncorrected formation energy: 323.7 kJ/mol of formula units



(6)
A relaxed BePW2Cl crystal. Source: the Alexandria database, functional PBE-GGA.

a = 4.3861 Å, b = 4.3861 Å, c = 4.5581 Å
α = 90.00°, β = 90.00°, γ = 90.00°
Closest atoms and distances in Å follow each position.
Element x y z (fractional)
Be: 0.0000 0.0000 0.0000  4 P 3.10, 8 W 3.16
P: 0.5000 0.5000 0.0000  2 Cl 2.28
W: 0.0000 0.5000 0.5000  2 Cl 2.19
W: 0.5000 0.0000 0.5000  2 Cl 2.19
Cl: 0.5000 0.5000 0.5000  4 W 2.19, 2 P 2.28

Output
- DOS at the Fermi energy: 0.8276 states/eV/atom
- Density: 8.391 Mg/m³
- Magnetization: 0.000 μB/cell
- Uncorrected formation energy: 1006.4 kJ/mol of formula units



(7)
A relaxed BePWCl2 crystal. Source: the Alexandria database, functional PBE-GGA.

a = 3.9160 Å, b = 3.9160 Å, c = 7.7384 Å
α = 90.00°, β = 90.00°, γ = 90.00°
Closest atoms and distances in Å follow each position.
Element x y z (fractional)
Be: 0.0000 0.0000 0.0000  4 Cl 1.96
P: 0.0000 0.0000 0.5000  4 W 2.77
W: 0.5000 0.5000 0.5000  4 P 2.77
Cl: 0.0000 0.5000 0.0000  2 Be 1.96
Cl: 0.5000 0.0000 0.0000  2 Be 1.96

Output
- DOS at the Fermi energy: 0.5284 states/eV/atom
- Density: 4.124 Mg/m³
- Magnetization: 2.827 μB/cell
- Energy above the lowest structure with this stoichiometry: 0 meV per atom
- Uncorrected formation energy: 289.0 kJ/mol of formula units



(8)
A relaxed BePWCl2 crystal. Source: the Alexandria database, functional PBE-GGA.

a = 4.7909 Å, b = 4.7909 Å, c = 4.7833 Å
α = 90.00°, β = 90.00°, γ = 90.00°
Closest atoms and distances in Å follow each position.
Element x y z (fractional)
Be: 0.0000 0.0000 0.0000  8 Cl 3.38, 4 P 3.39
P: 0.5000 0.5000 0.0000  2 W 2.39
W: 0.5000 0.5000 0.5000  2 P 2.39, 4 Cl 2.40
Cl: 0.0000 0.5000 0.5000  2 W 2.40
Cl: 0.5000 0.0000 0.5000  2 W 2.40

Output
- DOS at the Fermi energy: 0.5825 states/eV/atom
- Density: 4.458 Mg/m³
- Magnetization: 0.053 μB/cell
- Energy above the lowest structure with this stoichiometry: 80 meV per atom
- Uncorrected formation energy: 327.7 kJ/mol of formula units



(9)
A relaxed BeZnP2Cl crystal. Source: the Alexandria database, functional PBE-GGA.

a = 4.6095 Å, b = 4.6095 Å, c = 4.9513 Å
α = 90.00°, β = 90.00°, γ = 90.00°
Closest atoms and distances in Å follow each position.
Element x y z (fractional)
Be: 0.0000 0.0000 0.0000  4 Cl 3.26, 8 P 3.38
Zn: 0.5000 0.5000 0.5000  4 P 2.30, 2 Cl 2.48
P: 0.0000 0.5000 0.5000  2 Zn 2.30
P: 0.5000 0.0000 0.5000  2 Zn 2.30
Cl: 0.5000 0.5000 0.0000  2 Zn 2.48

Output
- DOS at the Fermi energy: 0.4026 states/eV/atom
- Density: 2.712 Mg/m³
- Magnetization: 0.935 μB/cell
- Energy above the lowest structure with this stoichiometry: 547 meV per atom
- Uncorrected formation energy: 504.5 kJ/mol of formula units



(10)
A relaxed BeZnP2Cl crystal. Source: the Alexandria database, functional PBE-GGA.

a = 4.2960 Å, b = 4.2960 Å, c = 4.7212 Å
α = 90.00°, β = 90.00°, γ = 90.00°
Closest atoms and distances in Å follow each position.
Element x y z (fractional)
Be: 0.0000 0.0000 0.0000  4 P 2.15, 2 Cl 2.36
Zn: 0.5000 0.5000 0.5000  4 Cl 3.04, 8 P 3.19
P: 0.0000 0.5000 0.0000  2 Be 2.15
P: 0.5000 0.0000 0.0000  2 Be 2.15
Cl: 0.0000 0.0000 0.5000  2 Be 2.36

Output
- DOS at the Fermi energy: 0.4771 states/eV/atom
- Density: 3.275 Mg/m³
- Magnetization: 0.776 μB/cell
- Energy above the lowest structure with this stoichiometry: 0 meV per atom
- Uncorrected formation energy: 240.4 kJ/mol of formula units



(11)
A relaxed ZrBeP2Cl crystal. Source: the Alexandria database, functional PBE-GGA.

a = 5.0764 Å, b = 5.0764 Å, c = 4.9342 Å
α = 90.00°, β = 90.00°, γ = 90.00°
Closest atoms and distances in Å follow each position.
Element x y z (fractional)
Zr: 0.0000 0.0000 0.0000  2 Cl 2.47, 4 P 2.54
Be: 0.5000 0.5000 0.5000  8 P 3.54, 4 Cl 3.59
P: 0.0000 0.5000 0.0000  2 Zr 2.54
P: 0.5000 0.0000 0.0000  2 Zr 2.54
Cl: 0.0000 0.0000 0.5000  2 Zr 2.47

Output
- DOS at the Fermi energy: 0.9066 states/eV/atom
- Density: 2.581 Mg/m³
- Magnetization: 0.000 μB/cell
- Energy above the lowest structure with this stoichiometry: 399 meV per atom
- Uncorrected formation energy: 208.0 kJ/mol of formula units



(12)
A relaxed ZrBeP2Cl crystal. Source: the Alexandria database, functional PBE-GGA.

a = 4.3019 Å, b = 4.3019 Å, c = 4.5118 Å
α = 90.00°, β = 90.00°, γ = 90.00°
Closest atoms and distances in Å follow each position.
Element x y z (fractional)
Zr: 0.0000 0.0000 0.0000  4 Cl 3.04, 8 P 3.12
Be: 0.5000 0.5000 0.5000  4 P 2.15, 2 Cl 2.26
P: 0.0000 0.5000 0.5000  2 Be 2.15
P: 0.5000 0.0000 0.5000  2 Be 2.15
Cl: 0.5000 0.5000 0.0000  2 Be 2.26

Output
- DOS at the Fermi energy: 0.7323 states/eV/atom
- Density: 3.931 Mg/m³
- Magnetization: 0.000 μB/cell
- Energy above the lowest structure with this stoichiometry: 0 meV per atom
- Uncorrected formation energy: 15.5 kJ/mol of formula units



(13)
A relaxed Be2PbCl crystal. Source: the Alexandria database, functional PBE-GGA.

a = 7.1247 Å, b = 7.1247 Å, c = 7.1247 Å
α = 151.30°, β = 151.30°, γ = 41.04°
Closest atoms and distances in Å follow each position.
Element x y z (fractional)
Be: 0.0000 0.0000 0.0000  4 Pb 2.50
Be: 0.7500 0.2500 0.5000  4 Cl 2.50
Pb: 0.5000 0.5000 0.0000  4 Be 2.50
Cl: 0.2500 0.7500 0.5000  4 Be 2.50

Output
- DOS at the Fermi energy: 0.4173 states/eV/atom
- Density: 5.199 Mg/m³
- Magnetization: 0.000 μB/cell
- Energy above the lowest structure with this stoichiometry: 560 meV per atom
- Uncorrected formation energy: 284.6 kJ/mol of formula units



(14)
A relaxed BePb2Cl crystal. Source: the Alexandria database, functional PBE-GGA.

a = 5.1952 Å, b = 5.1952 Å, c = 5.1952 Å
α = 60.00°, β = 60.00°, γ = 60.00°
Closest atoms and distances in Å follow each position.
Element x y z (fractional)
Be: 0.0000 0.0000 0.0000  4 Cl 3.18, 4 Pb 3.18
Pb: 0.5000 0.5000 0.5000  4 Pb 3.18, 4 Cl 3.18
Pb: 0.7500 0.7500 0.7500  4 Pb 3.18, 4 Be 3.18
Cl: 0.2500 0.2500 0.2500  4 Pb 3.18, 4 Be 3.18

Output
- DOS at the Fermi energy: 0.5266 states/eV/atom
- Density: 7.685 Mg/m³
- Magnetization: 0.000 μB/cell
- Energy above the lowest structure with this stoichiometry: 502 meV per atom
- Uncorrected formation energy: 155.1 kJ/mol of formula units



(15)
A relaxed Be2PbCl crystal. Source: the Alexandria database, functional PBE-GGA.

a = 4.6433 Å, b = 4.6433 Å, c = 4.6159 Å
α = 111.16°, β = 111.16°, γ = 105.68°
Closest atoms and distances in Å follow each position.
Element x y z (fractional)
Be: 0.0000 0.5000 0.0000  2 Cl 2.62, 2 Pb 2.62, 2 Be 2.80
Be: 0.5000 0.0000 0.0000  2 Cl 2.62, 2 Pb 2.62, 2 Be 2.80
Pb: 0.0000 0.0000 0.5000  4 Be 2.62, 2 Cl 2.80
Cl: 0.5000 0.5000 0.5000  4 Be 2.62, 2 Pb 2.80

Output
- DOS at the Fermi energy: 0.6352 states/eV/atom
- Density: 5.634 Mg/m³
- Magnetization: 0.001 μB/cell
- Energy above the lowest structure with this stoichiometry: 369 meV per atom
- Uncorrected formation energy: 210.9 kJ/mol of formula units



(16)
A relaxed BePbCl2 crystal. Source: the Alexandria database, functional PBE-GGA.

a = 6.5436 Å, b = 6.5436 Å, c = 7.1125 Å
α = 111.27°, β = 111.27°, γ = 27.07°
Closest atoms and distances in Å follow each position.
Element x y z (fractional)
Be: 0.0000 0.0000 0.0000  4 Cl 2.12
Pb: 0.5000 0.5000 0.5000  2 Pb 3.06
Cl: 0.3761 0.3761 0.9029  2 Be 2.12
Cl: 0.6239 0.6239 0.0971  2 Be 2.12

Output
- DOS at the Fermi energy: 0.4495 states/eV/atom
- Density: 3.708 Mg/m³
- Magnetization: 0.000 μB/cell
- Energy above the lowest structure with this stoichiometry: 240 meV per atom
- Uncorrected formation energy: -194.0 kJ/mol of formula units



(17)
A relaxed BePb2Cl crystal. Source: the Alexandria database, functional PBE-GGA.

a = 5.8964 Å, b = 5.8964 Å, c = 5.8964 Å
α = 138.74°, β = 126.26°, γ = 69.93°
Closest atoms and distances in Å follow each position.
Element x y z (fractional)
Be: 0.0000 0.0000 0.0000  4 Pb 2.66
Pb: 0.1712 0.6712 0.5000  2 Be 2.66
Pb: 0.8288 0.3288 0.5000  2 Be 2.66
Cl: 0.5000 0.5000 0.0000  4 Pb 3.14, 4 Be 3.38

Output
- DOS at the Fermi energy: 0.4065 states/eV/atom
- Density: 7.121 Mg/m³
- Magnetization: 0.000 μB/cell
- Energy above the lowest structure with this stoichiometry: 286 meV per atom
- Uncorrected formation energy: 71.9 kJ/mol of formula units



(18)
A relaxed BePb2Cl crystal. Source: the Alexandria database, functional PBE-GGA.

a = 3.4034 Å, b = 3.4034 Å, c = 8.2355 Å
α = 90.00°, β = 90.00°, γ = 90.00°
Closest atoms and distances in Å follow each position.
Element x y z (fractional)
Be: 0.0000 0.0000 0.0000  8 Pb 3.02
Pb: 0.5000 0.5000 0.2212  4 Be 3.02, 4 Cl 3.33
Pb: 0.5000 0.5000 0.7788  4 Be 3.02, 4 Cl 3.33
Cl: 0.0000 0.0000 0.5000  8 Pb 3.33, 4 Cl 3.40

Output
- DOS at the Fermi energy: 0.3005 states/eV/atom
- Density: 7.988 Mg/m³
- Magnetization: 0.000 μB/cell
- Energy above the lowest structure with this stoichiometry: 197 meV per atom
- Uncorrected formation energy: 37.7 kJ/mol of formula units



(19)
A relaxed Be3PbCl crystal. Source: the Alexandria database, functional PBE-GGA.

a = 4.8062 Å, b = 4.8062 Å, c = 4.8062 Å
α = 90.00°, β = 90.00°, γ = 90.00°
Closest atoms and distances in Å follow each position.
Element x y z (fractional)
Be: 0.0000 0.0000 0.5000  2 Pb 2.40
Be: 0.0000 0.5000 0.0000  2 Pb 2.40
Be: 0.5000 0.0000 0.0000  2 Pb 2.40
Pb: 0.0000 0.0000 0.0000  6 Be 2.40
Cl: 0.5000 0.5000 0.5000  12 Be 3.40

Output
- DOS at the Fermi energy: 0.6126 states/eV/atom
- Density: 4.034 Mg/m³
- Magnetization: 0.000 μB/cell
- Energy above the lowest structure with this stoichiometry: 0 meV per atom
- Uncorrected formation energy: 498.0 kJ/mol of formula units



(20)
A relaxed BePbCl crystal. Source: the Alexandria database, functional PBE-GGA.

a = 4.7421 Å, b = 4.7421 Å, c = 3.2777 Å
α = 90.00°, β = 90.00°, γ = 120.00°
Closest atoms and distances in Å follow each position.
Element x y z (fractional)
Be: 0.0000 0.0000 0.0000  3 Cl 2.74
Pb: 0.3333 0.6667 0.5000  6 Be 3.19, 6 Cl 3.19, 2 Pb 3.28
Cl: 0.6667 0.3333 0.0000  3 Be 2.74

Output
- DOS at the Fermi energy: 0.3140 states/eV/atom
- Density: 6.547 Mg/m³
- Magnetization: 0.000 μB/cell
- Energy above the lowest structure with this stoichiometry: 564 meV per atom
- Uncorrected formation energy: 109.5 kJ/mol of formula units